Density functional theory data (PBE) for Pm2Ta2O7 after structural relaxation.

Values from the calculation:
D(E_F) (states/eV/cell): 8.68
ρ (g cm⁻³): 8.8
Formation energy from raw total energies (eV per atom): -2.982
Space-group type: Fd-3m
Raw total energy (eV per atom): -9.156

Cell and atoms, written as POSCAR:
```
Pm2Ta2O7
1.0
-3.384 1.105 6.520
-2.056 -5.809 4.149
3.575 -1.487 6.340
O Pm Ta
14 4 4
direct
0.750 0.750 0.750
0.785 0.785 0.215
0.035 0.465 0.035
0.035 0.035 0.465
0.785 0.215 0.785
0.500 0.500 0.500
0.465 0.035 0.465
0.035 0.465 0.465
0.785 0.215 0.215
0.215 0.215 0.785
0.465 0.465 0.035
0.465 0.035 0.035
0.215 0.785 0.215
0.215 0.785 0.785
0.625 0.625 0.125
0.625 0.125 0.625
0.625 0.625 0.625
0.125 0.625 0.625
0.125 0.625 0.125
0.625 0.125 0.125
0.125 0.125 0.125
0.125 0.125 0.625
```